DFT (PBE) results for a relaxed structure of PRhCl2.

```
PRhCl2
1.0
-2.595 -1.716 -7.048
1.643 -3.935 -6.417
-0.506 0.820 7.644
Cl Rh P
2 1 1
direct
0.602 0.602 0.000 Cl
0.898 0.898 0.000 Cl
0.750 0.250 0.500 Rh
0.250 0.750 0.500 P
```

Summary:
Formation energy from raw total energies in meV/atom: 62
Electronic total energy in eV/f.u.: -16.21
Offset from the most stable computed form in meV/atom: 798.8
Total moment in μB per formula unit: 0.01

DFT (PBE) results for a relaxed structure of LiTlAsAu.

```
LiTlAsAu
1.0
-3.132 2.995 -2.182
-4.540 -1.465 -0.888
-3.695 1.895 2.510
Au Tl Li As
1 1 1 1
direct
0.000 0.000 0.000 Au
0.750 0.750 0.750 Tl
0.500 0.500 0.500 Li
0.250 0.250 0.250 As
```

Summary:
Energy of formation in eV per atom: -0.1114
Electronic total energy in eV/f.u.: -12.65
Total moment in μB per formula unit: 0.00

DFT (PBE) results for a relaxed structure of TiSbO.

```
TiSbO
1.0
7.444 0.000 0.009
0.000 2.991 0.000
-6.709 0.000 9.150
O Ti Sb
4 4 4
direct
0.339 0.500 0.283 O
0.336 0.000 0.022 O
0.339 0.000 0.783 O
0.336 0.500 0.522 O
0.436 0.000 0.441 Ti
0.436 0.500 0.941 Ti
0.220 0.500 0.633 Ti
0.220 0.000 0.133 Ti
0.842 0.000 0.164 Sb
0.842 0.500 0.664 Sb
0.827 0.500 0.912 Sb
0.827 0.000 0.412 Sb
```

Summary:
Formation energy from raw total energies in meV/atom: -1548
Electronic total energy in eV/f.u.: -21.62
Offset from the most stable computed form in meV/atom: 14.6
Total moment in μB per formula unit: 0.00

DFT (PBE) results for a relaxed structure of KSnI2Cl.

```
KSnI2Cl
1.0
6.285 0.000 0.000
0.000 6.285 0.000
0.000 0.000 5.507
I Cl K Sn
2 1 1 1
direct
0.000 0.500 0.000 I
0.500 0.000 0.000 I
0.000 0.000 0.500 Cl
0.500 0.500 0.500 K
0.000 0.000 0.000 Sn
```

Summary:
Formation energy from raw total energies in meV/atom: -1003
Electronic total energy in eV/f.u.: -15.06
Offset from the most stable computed form in meV/atom: 26.3
Total moment in μB per formula unit: 0.00

DFT (PBE) results for a relaxed structure of CsLiPmS2.

```
CsLiPmS2
1.0
-0.256 -3.038 -4.251
4.959 -5.410 3.568
-8.917 -1.132 1.346
S Cs Li Pm
4 2 2 2
direct
0.337 0.102 0.203 S
0.663 0.898 0.797 S
0.337 0.398 0.797 S
0.663 0.602 0.203 S
0.176 0.750 0.500 Cs
0.824 0.250 0.500 Cs
0.000 0.000 0.000 Li
0.000 0.500 0.000 Li
0.500 0.250 0.000 Pm
0.500 0.750 0.000 Pm
```

Summary:
Formation energy from raw total energies in meV/atom: -1251
Electronic total energy in eV/f.u.: -22.03
Total moment in μB per formula unit: 0.00

DFT (PBE) results for a relaxed structure of CsNa3In.

```
CsNa3In
1.0
-3.098 3.987 3.605
-4.055 0.998 -4.588
-3.529 -4.647 2.108
Na Cs In
3 1 1
direct
0.500 0.000 0.000 Na
0.000 0.500 0.000 Na
0.000 0.000 0.500 Na
0.500 0.500 0.500 Cs
0.000 0.000 0.000 In
```

Summary:
Energy of formation in eV per atom: 0.0088
Electronic total energy in eV/f.u.: -7.50
Offset from the most stable computed form in meV/atom: 24.6
Total moment in μB per formula unit: 0.00

DFT (PBE) results for a relaxed structure of CrCo2Au.

```
CrCo2Au
1.0
-6.005 -6.358 -0.355
-3.900 -7.830 0.288
-5.297 -6.617 2.184
Au Co Cr
1 2 1
direct
0.749 0.749 0.749 Au
0.992 0.992 0.992 Co
0.250 0.250 0.250 Co
0.509 0.509 0.509 Cr
```

Summary:
Energy of formation in eV per atom: 0.3507
Electronic total energy in eV/f.u.: -25.71
Offset from the most stable computed form in meV/atom: 124.3
Total moment in μB per formula unit: 1.78

DFT (PBE) results for a relaxed structure of CaMnCd2.

```
CaMnCd2
1.0
-0.254 2.939 4.076
-0.971 -2.022 4.504
3.617 -0.222 3.491
Ca Cd Mn
1 2 1
direct
0.500 0.500 0.500 Ca
0.000 0.000 0.000 Cd
0.250 0.250 0.250 Cd
0.750 0.750 0.750 Mn
```

Summary:
Energy of formation in eV per atom: 0.0946
Electronic total energy in eV/f.u.: -12.62
Total moment in μB per formula unit: 4.53

DFT (PBE) results for a relaxed structure of PmZnAsS.

```
PmZnAsS
1.0
4.387 0.000 0.000
2.194 3.800 0.000
2.194 1.267 11.255
Pm As Zn S
2 2 2 2
direct
0.892 0.892 0.325 Pm
0.108 0.108 0.675 Pm
0.618 0.618 0.146 As
0.382 0.382 0.854 As
0.305 0.305 0.084 Zn
0.695 0.695 0.916 Zn
0.803 0.803 0.591 S
0.197 0.197 0.409 S
```

Summary:
Formation energy from raw total energies in meV/atom: -1126
Electronic total energy in eV/f.u.: -19.31
Total moment in μB per formula unit: 0.00

DFT (PBE) results for a relaxed structure of FeCu2Mo.

```
FeCu2Mo
1.0
4.179 0.000 0.000
2.090 3.619 0.000
2.090 1.206 3.412
Mo Cu Fe
1 2 1
direct
0.750 0.750 0.750 Mo
0.250 0.250 0.250 Cu
0.000 0.000 0.000 Cu
0.500 0.500 0.500 Fe
```

Summary:
Energy of formation in eV per atom: 0.2806
Electronic total energy in eV/f.u.: -26.36
Offset from the most stable computed form in meV/atom: 126.3
Total moment in μB per formula unit: 1.75

DFT (PBE) results for a relaxed structure of ZnCuNi.

```
ZnCuNi
1.0
-0.522 -0.200 3.908
3.116 -0.410 2.390
1.133 3.003 2.299
Cu Zn Ni
1 1 1
direct
0.500 0.500 0.500 Cu
0.000 0.000 0.000 Zn
0.750 0.750 0.750 Ni
```

Summary:
Energy of formation in eV per atom: 0.2026
Electronic total energy in eV/f.u.: -10.54
Offset from the most stable computed form in meV/atom: 322.9
Total moment in μB per formula unit: 0.00

DFT (PBE) results for a relaxed structure of Sr8TlPd2.

```
Sr8TlPd2
1.0
-3.508 3.168 -4.118
0.931 -7.336 -4.672
-6.062 -0.891 6.243
Sr Pd Tl
8 2 1
direct
0.201 0.380 0.380 Sr
0.585 0.068 0.333 Sr
0.585 0.333 0.068 Sr
0.413 0.938 0.673 Sr
0.413 0.673 0.938 Sr
0.999 0.761 0.245 Sr
0.999 0.245 0.761 Sr
0.798 0.626 0.626 Sr
0.500 0.316 0.690 Pd
0.500 0.690 0.316 Pd
0.005 0.003 0.003 Tl
```

Summary:
Energy of formation in eV per atom: -0.2919
Electronic total energy in eV/f.u.: -29.42
Total moment in μB per formula unit: 0.00

Which of these has the highest total moment? CaMnCd2